(1)
Entry from Alexandria via LeMat-Bulk: TmLuN after structural relaxation (GGA-PBE).

Properties
uncorrected formation energy	0.20	eV/atom
energy above the lowest structure with this stoichiometry	3.943	eV per formula unit
density	7.49	Mg/m³
V	26.44	Å³ per atom
calculated total energy	-5.573	eV per atom

Unit cell a=4.578 b=4.578 c=7.571 alpha=90.00 beta=90.00 gamma=90.00
Space group I4mm (No. 107)
Symmetry-distinct sites (fractional):
Tm 0.000 0.000 0.000 x2
Lu 0.000 0.000 0.533 x2
N 0.000 0.000 0.268 x2



(2)
Entry from Alexandria via LeMat-Bulk: K2SbPt after structural relaxation (GGA-PBE).

Properties
uncorrected formation energy	0.18	eV/atom
density	5.94	Mg/m³
V	27.59	Å³ per atom
calculated total energy	-2.912	eV per atom

Unit cell a=3.4037 b=3.4037 c=33.0011 alpha=90.00 beta=90.00 gamma=120.00
Space group R-3m (No. 166, hexagonal axes)
Symmetry-distinct sites (fractional):
K 0.0000 0.0000 0.2429 x6
Sb 0.0000 0.0000 0.0000 x3
Pt 0.0000 0.0000 0.5000 x3



(3)
Entry from Alexandria via LeMat-Bulk: BeTeOs2 after structural relaxation (GGA-PBE).

Properties
uncorrected formation energy	0.61	eV/atom
energy above the lowest structure with this stoichiometry	0.586	eV per formula unit
density	14.66	Mg/m³
V	14.64	Å³ per atom
calculated total energy	-6.726	eV per atom

Unit cell a=4.309 b=4.309 c=3.155 alpha=90.00 beta=90.00 gamma=90.00
Space group P4/mmm (No. 123)
Symmetry-distinct sites (fractional):
Be 0.000 0.000 0.000 x1
Te 0.500 0.500 0.000 x1
Os 0.000 0.500 0.500 x2



(4)
Entry from Alexandria via LeMat-Bulk: KCrP2Cl after structural relaxation (GGA-PBE).

Properties
uncorrected formation energy	-0.35	eV/atom
energy above the lowest structure with this stoichiometry	0.000	eV per formula unit
density	2.67	Mg/m³
V	23.44	Å³ per atom
calculated total energy	-5.025	eV per atom

Unit cell a=4.418 b=4.418 c=6.005 alpha=90.00 beta=90.00 gamma=90.00
Space group P4/mmm (No. 123)
Symmetry-distinct sites (fractional):
K 0.000 0.000 0.000 x1
Cr 0.500 0.500 0.500 x1
P 0.000 0.500 0.500 x2
Cl 0.500 0.500 0.000 x1



- Look up the calculated total energy of the first one.
  -5.573 eV per atom